Density functional theory data (GGA-PBEsol) for HfMo3Pb after structural relaxation.

Summary:
- E_form (eV/atom) = 1.9272
- space group = No. 221
- spin magnetization (μB/f.u.) = 0.017

Unit cell a=4.770 b=4.770 c=4.770 alpha=90.00 beta=90.00 gamma=90.00
Atoms (fractional coordinates):
Hf (0.000, 0.000, 0.000)
Mo (0.000, 0.000, 0.500)
Mo (0.000, 0.500, 0.000)
Mo (0.500, 0.000, 0.000)
Pb (0.500, 0.500, 0.500)